[1]
# PBE LuHg5, relaxed
# - size of the total moment (μB per cell) = 0.0
# - DFT formation energy (eV per atom) = -0.165
# - uncorrected energy (eV/cell) = -7.02
data_LuHg5
_chemical_formula_sum 'Lu1 Hg5'
_cell_length_a 4.4087
_cell_length_b 4.7241
_cell_length_c 7.3367
_cell_angle_alpha 108.78
_cell_angle_beta 90.00
_cell_angle_gamma 90.00
_space_group_name_H-M_alt 'P 1'
_space_group_IT_number 1
loop_
_space_group_symop_operation_xyz
'x,y,z'
loop_
_atom_site_label
_atom_site_type_symbol
_atom_site_fract_x
_atom_site_fract_y
_atom_site_fract_z
Hg1 Hg 0.5000 0.8365 0.6730
Hg2 Hg 0.5000 0.5000 0.0000
Hg3 Hg 0.0000 0.3345 0.6691
Hg4 Hg 0.0000 0.6655 0.3309
Hg5 Hg 0.5000 0.1635 0.3270
Lu1 Lu 0.0000 0.0000 0.0000

[2]
# PBE LuHg6, relaxed
# - size of the total moment (μB per cell) = 0.0
# - DFT formation energy (eV per atom) = 0.480
# - uncorrected energy (eV/cell) = -2.97
data_LuHg6
_chemical_formula_sum 'Lu1 Hg6'
_cell_length_a 6.9487
_cell_length_b 6.9487
_cell_length_c 6.9487
_cell_angle_alpha 109.47
_cell_angle_beta 109.47
_cell_angle_gamma 109.47
_space_group_name_H-M_alt 'P 1'
_space_group_IT_number 1
loop_
_space_group_symop_operation_xyz
'x,y,z'
loop_
_atom_site_label
_atom_site_type_symbol
_atom_site_fract_x
_atom_site_fract_y
_atom_site_fract_z
Hg1 Hg 0.2500 0.5000 0.7500
Hg2 Hg 0.2500 0.7500 0.5000
Hg3 Hg 0.7500 0.5000 0.2500
Hg4 Hg 0.5000 0.7500 0.2500
Hg5 Hg 0.5000 0.2500 0.7500
Hg6 Hg 0.7500 0.2500 0.5000
Lu1 Lu 0.0000 0.0000 0.0000

[3]
# PBE Lu3Hg, relaxed
# - size of the total moment (μB per cell) = 0.9
# - DFT formation energy (eV per atom) = 0.021
# - energy above the lowest structure with this stoichiometry (eV/f.u.) = 0.97
# - uncorrected energy (eV/cell) = -13.78
data_Lu3Hg
_chemical_formula_sum 'Lu3 Hg1'
_cell_length_a 3.4982
_cell_length_b 3.4281
_cell_length_c 9.7092
_cell_angle_alpha 90.00
_cell_angle_beta 90.00
_cell_angle_gamma 90.00
_space_group_name_H-M_alt 'P 1'
_space_group_IT_number 1
loop_
_space_group_symop_operation_xyz
'x,y,z'
loop_
_atom_site_label
_atom_site_type_symbol
_atom_site_fract_x
_atom_site_fract_y
_atom_site_fract_z
Hg1 Hg 0.0000 0.0000 0.9774
Lu1 Lu 0.0000 0.5000 0.4711
Lu2 Lu 0.5000 0.0000 0.7155
Lu3 Lu 0.5000 0.5000 0.1693

[4]
# PBE LuHg3, relaxed
# - size of the total moment (μB per cell) = 0.0
# - DFT formation energy (eV per atom) = -0.251
# - uncorrected energy (eV/cell) = -6.43
data_LuHg3
_chemical_formula_sum 'Lu1 Hg3'
_cell_length_a 4.5549
_cell_length_b 4.5549
_cell_length_c 4.5549
_cell_angle_alpha 90.00
_cell_angle_beta 90.00
_cell_angle_gamma 90.00
_space_group_name_H-M_alt 'P 1'
_space_group_IT_number 1
loop_
_space_group_symop_operation_xyz
'x,y,z'
loop_
_atom_site_label
_atom_site_type_symbol
_atom_site_fract_x
_atom_site_fract_y
_atom_site_fract_z
Hg1 Hg 0.5000 0.0000 0.5000
Hg2 Hg 0.5000 0.5000 0.0000
Hg3 Hg 0.0000 0.5000 0.5000
Lu1 Lu 0.0000 0.0000 0.0000

Q: Among the records above, which one has the highest DFT formation energy?
A: LuHg6